Computed, not measured: crystalline NaYN2 at its relaxed geometry at the GGA-PBEsol level of DFT.

Relative energy among the computed polymorphs in meV per atom: 1109
Formation energy (no corrections) in eV/atom: 0.956

abc: 3.9554 3.9554 18.3167
angles: 90.00 90.00 120.00
Fractional positions:
Na: 0.0000 0.0000 0.0000
Na: 0.3333 0.6667 0.6667
Na: 0.6667 0.3333 0.3333
Y: 0.0000 0.0000 0.5000
Y: 0.3333 0.6667 0.1667
Y: 0.6667 0.3333 0.8333
N: 0.0000 0.0000 0.3955
N: 0.0000 0.0000 0.6045
N: 0.3333 0.6667 0.0621
N: 0.3333 0.6667 0.2712
N: 0.6667 0.3333 0.7288
N: 0.6667 0.3333 0.9379

Computed, not measured: crystalline Na4Li5W10O30 at its relaxed geometry at the GGA-PBEsol level of DFT.

Formation energy (no corrections) in eV/atom: -2.129

abc: 8.6557 8.6599 8.6630
angles: 66.40 89.89 78.32
Fractional positions:
Na: 0.0000 0.0000 0.0000
Na: 0.0838 0.4893 0.1971
Na: 0.7968 0.0020 0.5970
Na: 0.8943 0.4913 0.7990
Li: 0.2584 0.4887 0.5051
Li: 0.3131 0.9985 0.8393
Li: 0.4077 0.4950 0.0508
Li: 0.6736 0.6313 0.3478
Li: 0.6898 0.0109 0.1438
W: 0.0489 0.2448 0.5982
W: 0.1515 0.7460 0.7961
W: 0.2518 0.2442 0.0013
W: 0.3515 0.7467 0.2030
W: 0.4535 0.2375 0.4025
W: 0.5459 0.7453 0.6027
W: 0.6450 0.2510 0.7954
W: 0.7487 0.7457 0.9954
W: 0.8500 0.2482 0.2003
W: 0.9511 0.7472 0.4034
O: 0.0086 0.4958 0.5009
O: 0.0457 0.7479 0.6018
O: 0.0496 0.2445 0.0982
O: 0.1043 0.9956 0.7049
O: 0.1502 0.7443 0.3008
O: 0.1518 0.2408 0.8020
O: 0.2003 0.4960 0.9054
O: 0.2510 0.2499 0.5010
O: 0.2571 0.7455 0.9977
O: 0.3022 0.9942 0.0925
O: 0.3496 0.7448 0.7001
O: 0.3514 0.2513 0.1960
O: 0.3928 0.4943 0.2994
O: 0.4490 0.2477 0.8985
O: 0.4540 0.7383 0.4016
O: 0.5024 0.9938 0.4989
O: 0.5515 0.2429 0.5999
O: 0.5543 0.7367 0.1074
O: 0.6015 0.4954 0.7020
O: 0.6502 0.2463 0.2994
O: 0.6516 0.7497 0.7975
O: 0.6989 0.9962 0.9070
O: 0.7501 0.2409 0.0015
O: 0.7502 0.7383 0.5015
O: 0.8062 0.4964 0.0947
O: 0.8444 0.7451 0.2033
O: 0.8507 0.2441 0.7009
O: 0.8906 0.9958 0.2970
O: 0.9496 0.2462 0.3995
O: 0.9504 0.7505 0.9002

Computed, not measured: crystalline NbZnCr2Cu at its relaxed geometry at the GGA-PBEsol level of DFT.

E_form in eV per atom: 1.36

abc: 4.4167 4.4167 4.6339
angles: 90.00 90.00 90.00
Fractional positions:
Nb: 0.0000 0.0000 0.0000
Zn: 0.5000 0.5000 0.0000
Cr: 0.0000 0.5000 0.5000
Cr: 0.5000 0.0000 0.5000
Cu: 0.0000 0.0000 0.5000

Computed, not measured: crystalline CuBSbW2 at its relaxed geometry at the GGA-PBEsol level of DFT.

Formation energy (no corrections) in eV/atom: 2.640

abc: 4.5951 4.5951 4.4079
angles: 90.00 90.00 90.00
Fractional positions:
Cu: 0.0000 0.0000 0.0000
B: 0.5000 0.5000 0.5000
Sb: 0.0000 0.0000 0.5000
W: 0.0000 0.5000 0.0000
W: 0.5000 0.0000 0.0000

Computed, not measured: crystalline DyPRu2C at its relaxed geometry at the GGA-PBEsol level of DFT.

E_form in eV per atom: -0.73

abc: 5.7711 5.7711 6.9848
angles: 90.00 90.00 142.24
Fractional positions:
Dy: 0.0446 0.9554 0.7500
Dy: 0.9554 0.0446 0.2500
P: 0.2314 0.7686 0.2500
P: 0.7686 0.2314 0.7500
Ru: 0.3341 0.6659 0.5541
Ru: 0.3341 0.6659 0.9459
Ru: 0.6659 0.3341 0.0541
Ru: 0.6659 0.3341 0.4459
C: 0.5000 0.5000 0.0000
C: 0.5000 0.5000 0.5000

Computed, not measured: crystalline Cr2FeTc at its relaxed geometry at the GGA-PBEsol level of DFT.

E_form in eV per atom: 0.18
Relative energy among the computed polymorphs in meV per atom: 66

abc: 3.6196 3.6196 7.1571
angles: 90.00 90.00 90.00
Fractional positions:
Cr: 0.0000 0.5000 0.2500
Cr: 0.0000 0.5000 0.7500
Cr: 0.5000 0.0000 0.2500
Cr: 0.5000 0.0000 0.7500
Fe: 0.0000 0.0000 0.0000
Fe: 0.5000 0.5000 0.5000
Tc: 0.0000 0.0000 0.5000
Tc: 0.5000 0.5000 0.0000

Computed, not measured: crystalline Co2OsO at its relaxed geometry at the GGA-PBEsol level of DFT.

Formation energy (no corrections) in eV/atom: 0.836

abc: 5.5759 5.5759 5.5759
angles: 90.00 90.00 90.00
Fractional positions:
Co: 0.2500 0.2500 0.2500
Co: 0.2500 0.2500 0.7500
Co: 0.2500 0.7500 0.2500
Co: 0.2500 0.7500 0.7500
Co: 0.7500 0.2500 0.2500
Co: 0.7500 0.2500 0.7500
Co: 0.7500 0.7500 0.2500
Co: 0.7500 0.7500 0.7500
Os: 0.0000 0.0000 0.0000
Os: 0.0000 0.5000 0.5000
Os: 0.5000 0.0000 0.5000
Os: 0.5000 0.5000 0.0000
O: 0.0000 0.0000 0.5000
O: 0.0000 0.5000 0.0000
O: 0.5000 0.0000 0.0000
O: 0.5000 0.5000 0.5000

Computed, not measured: crystalline MnAl2Fe at its relaxed geometry at the GGA-PBEsol level of DFT.

E_form in eV per atom: -0.28

abc: 2.8519 2.8519 5.8965
angles: 90.00 90.00 90.00
Fractional positions:
Mn: 0.0000 0.0000 0.0000
Al: 0.5000 0.5000 0.2680
Al: 0.5000 0.5000 0.7320
Fe: 0.0000 0.0000 0.5000

Computed, not measured: crystalline K2PW at its relaxed geometry at the GGA-PBEsol level of DFT.

E_form in eV per atom: 1.37
Relative energy among the computed polymorphs in meV per atom: 420

abc: 7.2448 7.2448 7.2448
angles: 90.00 90.00 90.00
Fractional positions:
K: 0.0000 0.0000 0.0000
K: 0.0000 0.5000 0.5000
K: 0.2500 0.2500 0.2500
K: 0.2500 0.7500 0.7500
K: 0.5000 0.0000 0.5000
K: 0.5000 0.5000 0.0000
K: 0.7500 0.2500 0.7500
K: 0.7500 0.7500 0.2500
P: 0.2500 0.2500 0.7500
P: 0.2500 0.7500 0.2500
P: 0.7500 0.2500 0.2500
P: 0.7500 0.7500 0.7500
W: 0.0000 0.0000 0.5000
W: 0.0000 0.5000 0.0000
W: 0.5000 0.0000 0.0000
W: 0.5000 0.5000 0.5000

Computed, not measured: crystalline TlZnRe at its relaxed geometry at the GGA-PBEsol level of DFT.

E_form in eV per atom: 1.54
Relative energy among the computed polymorphs in meV per atom: 764

abc: 6.2342 6.2342 6.2342
angles: 90.00 90.00 90.00
Fractional positions:
Tl: 0.0000 0.0000 0.0000
Tl: 0.0000 0.5000 0.5000
Tl: 0.5000 0.0000 0.5000
Tl: 0.5000 0.5000 0.0000
Zn: 0.2500 0.2500 0.2500
Zn: 0.2500 0.7500 0.7500
Zn: 0.7500 0.2500 0.7500
Zn: 0.7500 0.7500 0.2500
Re: 0.2500 0.2500 0.7500
Re: 0.2500 0.7500 0.2500
Re: 0.7500 0.2500 0.2500
Re: 0.7500 0.7500 0.7500

Computed, not measured: crystalline SrLaTiFeO6 at its relaxed geometry at the GGA-PBEsol level of DFT.

Formation energy (no corrections) in eV/atom: -2.794

abc: 5.3986 5.3986 5.3986
angles: 60.00 60.00 60.00
Fractional positions:
Sr: 0.0000 0.0000 0.0000
La: 0.5000 0.5000 0.5000
Ti: 0.7500 0.7500 0.7500
Fe: 0.2500 0.2500 0.2500
O: 0.0037 0.0037 0.4963
O: 0.0037 0.4963 0.0037
O: 0.0037 0.4963 0.4963
O: 0.4963 0.0037 0.0037
O: 0.4963 0.0037 0.4963
O: 0.4963 0.4963 0.0037

Computed, not measured: crystalline NaCd3Ni at its relaxed geometry at the GGA-PBEsol level of DFT.

E_form in eV per atom: 1.21

abc: 5.0596 5.0596 5.0596
angles: 90.00 90.00 90.00
Fractional positions:
Na: 0.0000 0.0000 0.0000
Cd: 0.0000 0.0000 0.5000
Cd: 0.0000 0.5000 0.0000
Cd: 0.5000 0.0000 0.0000
Ni: 0.5000 0.5000 0.5000

no.,D(E_F) (states/eV/atom)
1,0.64
2,0.17
3,0.89
4,1.40
5,0.35
6,1.28
7,1.40
8,0.88
9,0.25
10,1.27
11,0.43
12,1.45